Crystalline CaCuRe4 at its relaxed geometry. Source: Alexandria, functional PBE.

Structure (POSCAR):
```
CaCuRe4
1.0
2.9948 3.6274 2.4127
-1.9322 2.7201 4.1007
1.8366 -0.9057 4.8738
Ca Cu Re
1 1 4
Cartesian
2.1744 4.0813 8.5404
0.0000 0.0000 0.0000
2.5927 3.8625 5.4750
2.0095 1.5797 6.7144
0.1116 3.4056 6.3250
1.0846 2.0358 4.2600
```

Properties
**Formation energy from the elements**: 49 kJ/mol of atoms
**Energy**: -8.80 eV per atom
**Total moment**: 0.0 μB/cell